Record 1
VASP calculation (PBE-GGA) on a relaxed CeMgFe crystal.

As for the total energy: -31.3 eV per cell. The value obtained for the formation energy is 0.12 eV/atom. For the size of the total moment, the calculation gives 0.10 μB/f.u.

It has space group I4mm (No. 107), with a = 3.1608 Å, b = 3.1608 Å, c = 12.0146 Å, α = 90.00°, β = 90.00° and γ = 90.00°. Symmetry generates all atoms from Ce at (0.0000, 0.0000, 0.0000), Mg at (0.0000, 0.0000, 0.7363) and Fe at (0.0000, 0.0000, 0.3735).

---

Record 2
VASP calculation (PBE-GGA) on a relaxed CeMgFe crystal.

As for the total energy: -63.2 eV per cell. The value obtained for the formation energy is 0.07 eV/atom. For the size of the total moment, the calculation gives 0.00 μB/f.u.

It has space group P2_1/c (No. 14), with a = 6.3593 Å, b = 6.5000 Å, c = 6.2888 Å, α = 90.00°, β = 96.83° and γ = 90.00°. Symmetry generates all atoms from Ce at (0.2434, 0.0587, 0.4144), Mg at (0.2372, 0.5595, 0.4301) and Fe at (0.4752, 0.2306, 0.2864).

---

Record 3
VASP calculation (PBE-GGA) on a relaxed Ce2MgFe crystal.

As for the total energy: -64.4 eV per cell. The value obtained for the formation energy is 0.12 eV/atom. For the size of the total moment, the calculation gives 0.46 μB/f.u. The energy above the lowest structure with this stoichiometry comes out at 117 meV/atom.

It has space group R3m (No. 160, hexagonal axes), with a = 3.7231 Å, b = 3.7231 Å, c = 25.6912 Å, α = 90.00°, β = 90.00° and γ = 120.00°. Symmetry generates all atoms from Ce at (0.0000, 0.0000, 0.0000), Ce at (0.0000, 0.0000, 0.2163), Mg at (0.0000, 0.0000, 0.4409) and Fe at (0.0000, 0.0000, 0.6093).

---

Record 4
VASP calculation (PBE-GGA) on a relaxed Ce2MnFe crystal.

As for the total energy: -82.2 eV per cell. The value obtained for the formation energy is 0.53 eV/atom. For the size of the total moment, the calculation gives 2.08 μB/f.u.

It has space group R-3m (No. 166, hexagonal axes), with a = 2.9130 Å, b = 2.9130 Å, c = 29.1545 Å, α = 90.00°, β = 90.00° and γ = 120.00°. Symmetry generates all atoms from Ce at (0.0000, 0.0000, 0.0792), Mn at (0.0000, 0.0000, 0.0000) and Fe at (0.0000, 0.0000, 0.5000).

---

Record 5
VASP calculation (PBE-GGA) on a relaxed CeMn10Fe2 crystal.

As for the total energy: -456.1 eV per cell. The value obtained for the formation energy is 0.04 eV/atom. For the size of the total moment, the calculation gives 0.63 μB/f.u.

It has space group Cmcm (No. 63), with a = 8.3822 Å, b = 9.5946 Å, c = 7.9887 Å, α = 90.00°, β = 90.00° and γ = 90.00°. Symmetry generates all atoms from Ce at (0.0000, 0.1185, 0.2500), Mn at (0.0000, 0.1704, 0.6058), Mn at (0.0000, 0.3959, 0.0706), Mn at (0.1322, 0.3857, 0.7500), Mn at (0.2285, 0.0000, 0.0000), Mn at (0.2398, 0.3679, 0.2500) and Fe at (0.2500, 0.2500, 0.0000).

---

Record 6
VASP calculation (PBE-GGA) on a relaxed CeMn8Fe4 crystal.

As for the total energy: -224.6 eV per cell. The value obtained for the formation energy is 0.07 eV/atom. For the size of the total moment, the calculation gives 7.28 μB/f.u.

It has space group I4/mmm (No. 139), with a = 8.3083 Å, b = 8.3083 Å, c = 4.7565 Å, α = 90.00°, β = 90.00° and γ = 90.00°. Symmetry generates all atoms from Ce at (0.0000, 0.0000, 0.0000), Mn at (0.0000, 0.2322, 0.5000), Mn at (0.2500, 0.2500, 0.2500) and Fe at (0.0000, 0.3619, 0.0000).

---

Record 7
VASP calculation (PBE-GGA) on a relaxed CeMnFe4 crystal.

As for the total energy: -194.6 eV per cell. The value obtained for the formation energy is 0.05 eV/atom. For the size of the total moment, the calculation gives 12.36 μB/f.u.

It has space group F-43m (No. 216), with a = 7.0412 Å, b = 7.0412 Å, c = 7.0412 Å, α = 90.00°, β = 90.00° and γ = 90.00°. Symmetry generates all atoms from Ce at (0.0000, 0.0000, 0.0000), Mn at (0.2500, 0.2500, 0.7500) and Fe at (0.1243, 0.1243, 0.3757).

---

Record 8
VASP calculation (PBE-GGA) on a relaxed CeMn2FeN4 crystal.

As for the total energy: -278.6 eV per cell. The uncorrected formation energy is -0.45 eV per atom. For the size of the total moment, the calculation gives 1.46 μB/f.u.

It has space group Cmcm (No. 63), with a = 3.2770 Å, b = 11.7146 Å, c = 9.1727 Å, α = 90.00°, β = 90.00° and γ = 90.00°. Symmetry generates all atoms from Ce at (0.0000, 0.0738, 0.2500), Mn at (0.0000, 0.4045, 0.0420), Fe at (0.0000, 0.2043, 0.7500), N at (0.0000, 0.0000, 0.0000), N at (0.0000, 0.3125, 0.6086) and N at (0.0000, 0.3898, 0.2500).

---

Please write out number 6 again, unchanged.
VASP calculation (PBE-GGA) on a relaxed CeMn8Fe4 crystal.

As for the total energy: -224.6 eV per cell. The value obtained for the formation energy is 0.07 eV/atom. For the size of the total moment, the calculation gives 7.28 μB/f.u.

It has space group I4/mmm (No. 139), with a = 8.3083 Å, b = 8.3083 Å, c = 4.7565 Å, α = 90.00°, β = 90.00° and γ = 90.00°. Symmetry generates all atoms from Ce at (0.0000, 0.0000, 0.0000), Mn at (0.0000, 0.2322, 0.5000), Mn at (0.2500, 0.2500, 0.2500) and Fe at (0.0000, 0.3619, 0.0000).

---

Question: Which of these has the highest size of the total moment?
Answer: CeMnFe4